# 1
This record from Alexandria via LeMat-Bulk describes a geometry-optimized AcEuSnRh structure. The functional is PBE.

Values from the calculation:
Magnetic moment ... 1.685 μB/atom
Electronic total energy ... -6.86 eV per atom
Volume ... 28.25 A^3/atom
Density of states at the Fermi level ... 2.703 states/eV per atom
DFT formation energy ... -0.42 eV per atom

a = 5.427 Å, b = 5.427 Å, c = 5.427 Å
α = 60.00°, β = 60.00°, γ = 60.00°
Fractional coordinates of all 4 atoms:
1 Ac 0.000 0.000 0.000
2 Eu 0.500 0.500 0.500
3 Sn 0.750 0.750 0.750
4 Rh 0.250 0.250 0.250

---

# 2
This record from Alexandria via LeMat-Bulk describes a geometry-optimized AcEuZnRh structure. The functional is PBE.

Values from the calculation:
Magnetic moment ... 1.746 μB/atom
Electronic total energy ... -6.11 eV per atom
Volume ... 25.57 A^3/atom
Density of states at the Fermi level ... 1.593 states/eV per atom
DFT formation energy ... -0.36 eV per atom

a = 5.249 Å, b = 5.249 Å, c = 5.249 Å
α = 60.00°, β = 60.00°, γ = 60.00°
Fractional coordinates of all 4 atoms:
1 Ac 0.000 0.000 0.000
2 Eu 0.500 0.500 0.500
3 Zn 0.750 0.750 0.750
4 Rh 0.250 0.250 0.250

---

# 3
This record from Alexandria via LeMat-Bulk describes a geometry-optimized AcEuRu structure. The functional is PBE.

Values from the calculation:
Relative energy among the computed polymorphs ... 5 meV/atom
Magnetic moment ... 2.388 μB/atom
Electronic total energy ... -7.85 eV per atom
Volume ... 30.36 A^3/atom
Density of states at the Fermi level ... 3.524 states/eV per atom
DFT formation energy ... 0.04 eV per atom

a = 5.050 Å, b = 5.050 Å, c = 5.050 Å
α = 60.00°, β = 60.00°, γ = 60.00°
Fractional coordinates of all 3 atoms:
1 Ac 0.000 0.000 0.000
2 Eu 0.500 0.500 0.500
3 Ru 0.750 0.750 0.750

---

# 4
This record from Alexandria via LeMat-Bulk describes a geometry-optimized AcEuRu4 structure. The functional is PBE.

Values from the calculation:
Magnetic moment ... 0.771 μB/atom
Electronic total energy ... -8.51 eV per atom
Volume ... 19.51 A^3/atom
Density of states at the Fermi level ... 1.678 states/eV per atom
DFT formation energy ... 0.07 eV per atom

a = 5.491 Å, b = 5.491 Å, c = 5.491 Å
α = 60.00°, β = 60.00°, γ = 60.00°
Fractional coordinates of all 6 atoms:
1 Ac 0.000 0.000 0.000
2 Eu 0.250 0.250 0.250
3 Ru 0.127 0.624 0.624
4 Ru 0.624 0.127 0.624
5 Ru 0.624 0.624 0.127
6 Ru 0.624 0.624 0.624

---

# 5
This record from Alexandria via LeMat-Bulk describes a geometry-optimized AcEuRu structure. The functional is PBE.

Values from the calculation:
Relative energy among the computed polymorphs ... 29 meV/atom
Magnetic moment ... 2.288 μB/atom
Electronic total energy ... -7.83 eV per atom
Volume ... 33.85 A^3/atom
Density of states at the Fermi level ... 3.008 states/eV per atom
DFT formation energy ... 0.06 eV per atom

a = 4.231 Å, b = 4.231 Å, c = 6.549 Å
α = 90.00°, β = 90.00°, γ = 120.00°
Fractional coordinates of all 3 atoms:
1 Ac 0.000 0.000 0.000
2 Eu 0.333 0.667 0.472
3 Ru 0.667 0.333 0.237

---

# 6
This record from Alexandria via LeMat-Bulk describes a geometry-optimized Ac2EuRu structure. The functional is PBE.

Values from the calculation:
Relative energy among the computed polymorphs ... 94 meV/atom
Magnetic moment ... 2.018 μB/atom
Electronic total energy ... -6.93 eV per atom
Volume ... 35.07 A^3/atom
Density of states at the Fermi level ... 1.047 states/eV per atom
DFT formation energy ... 0.01 eV per atom

a = 3.731 Å, b = 3.731 Å, c = 10.078 Å
α = 90.00°, β = 90.00°, γ = 90.00°
Fractional coordinates of all 4 atoms:
1 Ac 0.000 0.000 0.177
2 Ac 0.000 0.000 0.823
3 Eu 0.500 0.500 0.500
4 Ru 0.500 0.500 0.000

---

Which value of volume does entry 4 give? 19.51 A^3/atom